Entry 1:
# YMn2CrAu

An optimized crystal structure of YMn2CrAu (PBE-GGA, Alexandria via LeMat-Bulk).

DFT formation energy: 0.3753 eV/atom
uncorrected energy: -35.8 eV/f.u.
space-group type: No. 123

Cell: 4.358 4.358 5.092 Å, 90.00 90.00 90.00°
Positions (direct):
Y: 0.000 0.000 0.000
Mn: 0.000 0.500 0.500
Mn: 0.500 0.000 0.500
Cr: 0.500 0.500 0.500
Au: 0.500 0.500 0.000


Entry 2:
# CsMg2C

An optimized crystal structure of CsMg2C (PBE-GGA, Alexandria via LeMat-Bulk).

DFT formation energy: 0.5032 eV/atom
uncorrected energy: -11.3 eV/f.u.
space-group type: No. 141

Cell: 7.001 7.001 7.001 Å, 120.13 120.13 89.77°
Positions (direct):
Cs: 0.375 0.625 0.750
Cs: 0.625 0.375 0.250
Mg: 0.000 0.000 0.000
Mg: 0.000 0.000 0.500
Mg: 0.000 0.500 0.000
Mg: 0.500 0.000 0.500
C: 0.125 0.875 0.250
C: 0.875 0.125 0.750


Question: Among the records above, which one has the lowest DFT formation energy?
Answer: YMn2CrAu